# Ce2SnBr

Ce2SnBr after structural relaxation (PBE-GGA, Alexandria via LeMat-Bulk).

The space group is R3m (No. 160, hexagonal axes) and the conventional cell measures 4.3567, 4.3567 and 23.0855 Å, with angles of 90.00, 90.00 and 120.00 degrees. The asymmetric unit holds Ce at (0.0000, 0.0000, 0.0000), Ce at (0.0000, 0.0000, 0.1752), Sn at (0.0000, 0.0000, 0.5864) and Br at (0.0000, 0.0000, 0.7573).

The value obtained for the total energy is -61.83 eV per cell. The formation energy from raw total energies comes out at -0.767 eV per atom. For the total magnetization, the calculation gives 7.6 μB per cell. As for the excess energy over the best structure of this formula in the dataset: 0.1013 eV per atom. The calculation puts the density of states at the Fermi level at 42.107 states/eV per cell.



# CeSn2Br8

CeSn2Br8 after structural relaxation (PBE-GGA, Alexandria via LeMat-Bulk).

The space group is C2/m (No. 12) and the conventional cell measures 14.363, 7.513 and 8.148 Å, with angles of 90.00, 91.93 and 90.00 degrees. The asymmetric unit holds Ce at (0.000, 0.000, 0.000), Sn at (0.134, 0.000, 0.485), Br at (0.058, 0.250, 0.244), Br at (0.177, 0.000, 0.874) and Br at (0.195, 0.500, 0.610).

The value obtained for the total energy is -78.66 eV per cell. The formation energy from raw total energies comes out at -1.091 eV per atom. For the total magnetization, the calculation gives 0.0 μB per cell. As for the excess energy over the best structure of this formula in the dataset: 0.0000 eV per atom.



# Ce2SnBr

Ce2SnBr after structural relaxation (PBE-GGA, Alexandria via LeMat-Bulk).

The space group is R-3m (No. 166, hexagonal axes) and the conventional cell measures 4.5372, 4.5372 and 20.1943 Å, with angles of 90.00, 90.00 and 120.00 degrees. The asymmetric unit holds Ce at (0.0000, 0.0000, 0.2468), Sn at (0.0000, 0.0000, 0.0000) and Br at (0.0000, 0.0000, 0.5000).

The value obtained for the total energy is -63.05 eV per cell. The formation energy from raw total energies comes out at -0.868 eV per atom. For the total magnetization, the calculation gives 6.4 μB per cell. As for the excess energy over the best structure of this formula in the dataset: 0.0000 eV per atom. The calculation puts the density of states at the Fermi level at 37.654 states/eV per cell.



# CeSnBr5

CeSnBr5 after structural relaxation (PBE-GGA, Alexandria via LeMat-Bulk).

The space group is C2/c (No. 15) and the conventional cell measures 11.292, 10.401 and 11.331 Å, with angles of 90.00, 116.24 and 90.00 degrees. The asymmetric unit holds Ce at (0.250, 0.250, 0.000), Sn at (0.000, 0.083, 0.250), Br at (0.000, 0.240, 0.750), Br at (0.100, 0.282, 0.153) and Br at (0.229, 0.026, 0.507).

The value obtained for the total energy is -109.82 eV per cell. The formation energy from raw total energies comes out at -1.308 eV per atom. For the total magnetization, the calculation gives 4.0 μB per cell. The calculation puts the density of states at the Fermi level at 30.100 states/eV per cell.



# Ce3SnBr3

Ce3SnBr3 after structural relaxation (PBE-GGA, Alexandria via LeMat-Bulk).

The space group is R-3 (No. 148, hexagonal axes) and the conventional cell measures 7.4056, 7.4056 and 32.0571 Å, with angles of 90.00, 90.00 and 120.00 degrees. The asymmetric unit holds Ce at (0.0001, 0.3147, 0.0568), Sn at (0.0000, 0.0000, 0.3333) and Br at (0.0002, 0.3491, 0.8880).

The value obtained for the total energy is -208.36 eV per cell. The formation energy from raw total energies comes out at -1.129 eV per atom. For the total magnetization, the calculation gives 23.5 μB per cell. The calculation puts the density of states at the Fermi level at 114.087 states/eV per cell.



# SrCeBr4

SrCeBr4 after structural relaxation (PBE-GGA, Alexandria via LeMat-Bulk).

The space group is C2/m (No. 12) and the conventional cell measures 14.188, 4.226 and 7.988 Å, with angles of 90.00, 101.38 and 90.00 degrees. The asymmetric unit holds Sr at (0.000, 0.000, 0.000), Ce at (0.000, 0.500, 0.500), Br at (0.120, 0.500, 0.862) and Br at (0.123, 0.000, 0.364).

The value obtained for the total energy is -50.24 eV per cell. The formation energy from raw total energies comes out at -1.802 eV per atom. For the total magnetization, the calculation gives 4.0 μB per cell. The calculation puts the density of states at the Fermi level at 16.661 states/eV per cell.



# Sr2CeBr

Sr2CeBr after structural relaxation (PBE-GGA, Alexandria via LeMat-Bulk).

The space group is R-3m (No. 166, hexagonal axes) and the conventional cell measures 3.8850, 3.8850 and 36.1475 Å, with angles of 90.00, 90.00 and 120.00 degrees. The asymmetric unit holds Sr at (0.0000, 0.0000, 0.1008), Ce at (0.0000, 0.0000, 0.0000) and Br at (0.0000, 0.0000, 0.5000).

The value obtained for the total energy is -37.03 eV per cell. The formation energy from raw total energies comes out at -0.343 eV per atom. For the total magnetization, the calculation gives 6.9 μB per cell. The calculation puts the density of states at the Fermi level at 25.572 states/eV per cell.



# SrCe2Br8

SrCe2Br8 after structural relaxation (PBE-GGA, Alexandria via LeMat-Bulk).

The space group is C2/m (No. 12) and the conventional cell measures 22.867, 4.270 and 8.348 Å, with angles of 90.00, 95.96 and 90.00 degrees. The asymmetric unit holds Sr at (0.000, 0.000, 0.000), Ce at (0.160, 0.500, 0.338), Br at (0.022, 0.500, 0.254), Br at (0.116, 0.000, 0.532), Br at (0.136, 0.000, 0.066) and Br at (0.242, 0.500, 0.671).

The value obtained for the total energy is -95.21 eV per cell. The formation energy from raw total energies comes out at -1.879 eV per atom. For the total magnetization, the calculation gives 4.0 μB per cell. The calculation puts the density of states at the Fermi level at 28.780 states/eV per cell.